(1)
The following is a DFT calculation (PBE-GGA) of a relaxed As2Pd2Pb crystal.

Computed properties:
* total DFT energy (no corrections): -4.9119 eV per atom

Cell and atoms, written as CIF:
```
data_As2Pd2Pb
_cell_length_a 4.377
_cell_length_b 4.377
_cell_length_c 10.484
_cell_angle_alpha 90.00
_cell_angle_beta 90.00
_cell_angle_gamma 90.00
_symmetry_space_group_name_H-M 'I 4/m m m'
_symmetry_Int_Tables_number 139
_symmetry_space_group_name_Hall '-I 4 2'
loop_
_atom_site_label
_atom_site_type_symbol
_atom_site_fract_x
_atom_site_fract_y
_atom_site_fract_z
As1 As 0.000 0.000 0.124
Pd1 Pd 0.000 0.500 0.250
Pb1 Pb 0.000 0.000 0.500
```

***

(2)
The following is a DFT calculation (PBE-GGA) of a relaxed TlNiAgS3 crystal.

Computed properties:
* total DFT energy (no corrections): -3.9515 eV per atom
* M_tot: 0.21 μB/f.u.

Cell and atoms, written as CIF:
```
data_TlNiAgS3
_cell_length_a 3.448
_cell_length_b 13.731
_cell_length_c 10.195
_cell_angle_alpha 90.00
_cell_angle_beta 90.00
_cell_angle_gamma 90.00
_symmetry_space_group_name_H-M 'C m c m'
_symmetry_Int_Tables_number 63
_symmetry_space_group_name_Hall '-C 2c 2'
loop_
_atom_site_label
_atom_site_type_symbol
_atom_site_fract_x
_atom_site_fract_y
_atom_site_fract_z
Tl1 Tl 0.000 0.193 0.250
Ni1 Ni 0.000 0.500 0.000
Ag1 Ag 0.000 0.129 0.750
S1 S 0.000 0.106 0.511
S2 S 0.000 0.477 0.750
```

***

(3)
The following is a DFT calculation (PBE-GGA) of a relaxed K2ReCl6 crystal.

Computed properties:
* distance to the lowest polymorph of the same formula: 31 meV per atom
* total DFT energy (no corrections): -4.0956 eV per atom
* M_tot: 3.00 μB/f.u.

Cell and atoms, written as CIF:
```
data_K2ReCl6
_cell_length_a 6.8926
_cell_length_b 6.8926
_cell_length_c 5.8428
_cell_angle_alpha 90.00
_cell_angle_beta 90.00
_cell_angle_gamma 120.00
_symmetry_space_group_name_H-M 'P -3 m 1'
_symmetry_Int_Tables_number 164
_symmetry_space_group_name_Hall '-P 3 2"'
loop_
_atom_site_label
_atom_site_type_symbol
_atom_site_fract_x
_atom_site_fract_y
_atom_site_fract_z
K1 K 0.3333 0.6667 0.2368
Re1 Re 0.0000 0.0000 0.0000
Cl1 Cl 0.1632 0.3264 0.7692
```

***

(4)
The following is a DFT calculation (PBE-GGA) of a relaxed UCo5Si3 crystal.

Computed properties:
* total DFT energy (no corrections): -7.5274 eV per atom
* M_tot: 2.32 μB/f.u.

Cell and atoms, written as CIF:
```
data_UCo5Si3
_cell_length_a 14.6273
_cell_length_b 14.6273
_cell_length_c 3.6664
_cell_angle_alpha 90.00
_cell_angle_beta 90.00
_cell_angle_gamma 120.00
_symmetry_space_group_name_H-M 'P 63/m'
_symmetry_Int_Tables_number 176
_symmetry_space_group_name_Hall '-P 6c'
loop_
_atom_site_label
_atom_site_type_symbol
_atom_site_fract_x
_atom_site_fract_y
_atom_site_fract_z
U1 U 0.1000 0.7113 0.2500
Co1 Co 0.0335 0.9070 0.2500
Co2 Co 0.0406 0.2684 0.2500
Co3 Co 0.0747 0.5369 0.7500
Co4 Co 0.1504 0.4131 0.7500
Co5 Co 0.2255 0.5733 0.2500
Si1 Si 0.0626 0.4337 0.2500
Si2 Si 0.1222 0.2440 0.7500
Si3 Si 0.2382 0.6816 0.7500
```

***

(5)
The following is a DFT calculation (PBE-GGA) of a relaxed SiAsPdO crystal.

Computed properties:
* distance to the lowest polymorph of the same formula: 1042 meV per atom
* total DFT energy (no corrections): -4.9487 eV per atom

Cell and atoms, written as CIF:
```
data_SiAsPdO
_cell_length_a 4.131
_cell_length_b 4.131
_cell_length_c 7.884
_cell_angle_alpha 90.00
_cell_angle_beta 90.00
_cell_angle_gamma 90.00
_symmetry_space_group_name_H-M 'P 4/n m m'
_symmetry_Int_Tables_number 129
loop_
_symmetry_equiv_pos_as_xyz
'x,y,z'
'-x,-y,-z'
'-y+1/2,x,z'
'y+1/2,-x,-z'
'-x+1/2,-y+1/2,z'
'x+1/2,y+1/2,-z'
'y,-x+1/2,z'
'-y,x+1/2,-z'
'x+1/2,-y,-z'
'-x+1/2,y,z'
'-y,-x,-z'
'y,x,z'
'-x,y+1/2,-z'
'x,-y+1/2,z'
'y+1/2,x+1/2,-z'
'-y+1/2,-x+1/2,z'
loop_
_atom_site_label
_atom_site_type_symbol
_atom_site_fract_x
_atom_site_fract_y
_atom_site_fract_z
Si1 Si 0.250 0.750 0.000
As1 As 0.250 0.250 0.182
Pd1 Pd 0.250 0.250 0.561
O1 O 0.250 0.750 0.500
```

***

(6)
The following is a DFT calculation (PBE-GGA) of a relaxed Zr3Zn3Ir2Pd crystal.

Computed properties:
* total DFT energy (no corrections): -6.4755 eV per atom
* M_tot: 0.03 μB/f.u.
* ΔE_f: -662 meV per atom

Cell and atoms, written as CIF:
```
data_Zr3Zn3Ir2Pd
_cell_length_a 7.3321
_cell_length_b 7.3321
_cell_length_c 3.3529
_cell_angle_alpha 90.00
_cell_angle_beta 90.00
_cell_angle_gamma 120.00
_symmetry_space_group_name_H-M 'P -6 2 m'
_symmetry_Int_Tables_number 189
_symmetry_space_group_name_Hall 'P -6 -2'
loop_
_atom_site_label
_atom_site_type_symbol
_atom_site_fract_x
_atom_site_fract_y
_atom_site_fract_z
Zr1 Zr 0.0000 0.5967 0.0000
Zn1 Zn 0.0000 0.2683 0.5000
Ir1 Ir 0.3333 0.6667 0.5000
Pd1 Pd 0.0000 0.0000 0.0000
```